No. 1
ZnAgPt2, relaxed, DFT PBE; symmetry = No. 10; calculated density = 14.91 g cm⁻³; total magnetic moment = 0.00 μB per formula unit; calculated formation energy = -245.8 meV per atom
1.0
3.788 0.000 0.000
0.000 2.846 -0.019
0.000 2.858 5.800
Zn Ag Pt
1 1 2
direct
0.500 0.250 0.250 Zn
0.500 0.750 0.750 Ag
0.000 0.985 0.015 Pt
0.000 0.515 0.485 Pt

=====

No. 2
Y2AlZnIn, relaxed, DFT PBE; symmetry = No. 11; calculated density = 5.38 g cm⁻³; total magnetic moment = 0.00 μB per formula unit; calculated formation energy = -395.5 meV per atom
1.0
-2.984 3.329 -0.034
-5.481 -4.897 1.506
2.697 2.483 6.480
Y Al Zn In
4 2 2 2
direct
0.750 0.873 0.626 Y
0.750 0.699 0.050 Y
0.250 0.127 0.374 Y
0.250 0.301 0.950 Y
0.250 0.577 0.701 Al
0.750 0.423 0.299 Al
0.250 0.913 0.928 Zn
0.750 0.087 0.072 Zn
0.250 0.660 0.337 In
0.750 0.340 0.663 In